(1)
Sc2HgRh | PBE-GGA | optimized geometry

Cell lengths 10.5025, 3.3074, 4.7463 Å; angles 90.00, 107.07, 90.00 degrees
Closest atoms and distances in Å follow each position.
Atoms (fractional coordinates):
Sc 0.0000 0.0000 0.0000  4 Rh 2.87-2.91, 3 Hg 2.93-3.11, 1 Sc 3.12
Sc 0.2156 0.0000 0.6664  2 Rh 2.72, 4 Hg 2.91-2.95
Sc 0.5000 0.5000 0.0000  4 Rh 2.87-2.91, 3 Hg 2.93-3.11, 1 Sc 3.12
Sc 0.7156 0.5000 0.6664  2 Rh 2.72, 4 Hg 2.91-2.95
Hg 0.2619 0.5000 0.2011  7 Sc 2.91-3.11, 2 Rh 3.00
Hg 0.7619 0.0000 0.2011  7 Sc 2.91-3.11, 2 Rh 3.00
Rh 0.0006 0.5000 0.5049  6 Sc 2.72-2.91, 2 Hg 3.00
Rh 0.5006 0.0000 0.5049  6 Sc 2.72-2.91, 2 Hg 3.00

**Space group**: No. 8
**Formation enthalpy at 0 K**: -0.512 eV/atom
**V**: 19.70 Å³/atom
**ρ**: 8.3 Mg/m³

=====

(2)
ScHg3Rh | PBE-GGA | optimized geometry

Cell lengths 5.1333, 5.1333, 5.1333 Å; angles 90.00, 90.00, 90.00 degrees
Closest atoms and distances in Å follow each position.
Atoms (fractional coordinates):
Sc 0.0000 0.0000 0.0000  12 Hg 3.63
Hg 0.0000 0.5000 0.5000  2 Rh 2.57
Hg 0.5000 0.0000 0.5000  2 Rh 2.57
Hg 0.5000 0.5000 0.0000  2 Rh 2.57
Rh 0.5000 0.5000 0.5000  6 Hg 2.57

**Relative energy among the computed polymorphs**: 0 meV per atom
**Space group**: No. 221
**Formation enthalpy at 0 K**: 0.357 eV/atom
**V**: 27.05 Å³/atom
**ρ**: 9.2 Mg/m³